1.
# Al2MoSCl

Crystalline Al2MoSCl at its relaxed geometry (PBE, Alexandria).

Cell: 4.5926 4.5926 4.7365 Å, 90.00 90.00 90.00°
Sites, in units of the cell vectors:
Al (0.0000, 0.5000, 0.0000)
Al (0.5000, 0.0000, 0.0000)
Mo (0.0000, 0.0000, 0.5000)
S (0.5000, 0.5000, 0.5000)
Cl (0.5000, 0.5000, 0.0000)

Output
Energy relative to the elements, uncorrected in meV per atom: 1193



2.
# AlMoSCl2

Crystalline AlMoSCl2 at its relaxed geometry (PBE, Alexandria).

Cell: 5.0239 5.0239 4.6280 Å, 90.00 90.00 90.00°
Sites, in units of the cell vectors:
Al (0.0000, 0.0000, 0.0000)
Mo (0.5000, 0.5000, 0.5000)
S (0.5000, 0.5000, 0.0000)
Cl (0.0000, 0.5000, 0.5000)
Cl (0.5000, 0.0000, 0.5000)

Output
Energy relative to the elements, uncorrected in meV per atom: -144
E above lowest polymorph in meV/atom: 0



3.
# AlMoS2Cl

Crystalline AlMoS2Cl at its relaxed geometry (PBE, Alexandria).

Cell: 4.7139 4.7139 4.4637 Å, 90.00 90.00 90.00°
Sites, in units of the cell vectors:
Al (0.0000, 0.0000, 0.0000)
Mo (0.5000, 0.5000, 0.5000)
S (0.0000, 0.5000, 0.0000)
S (0.5000, 0.0000, 0.0000)
Cl (0.0000, 0.0000, 0.5000)

Output
Energy relative to the elements, uncorrected in meV per atom: 183
E above lowest polymorph in meV/atom: 273